## Sn3As5Se12 (PBE)

Data for crystalline Sn3As5Se12 at its relaxed geometry.

a = 14.214 Å, b = 14.214 Å, c = 14.214 Å
α = 109.47°, β = 109.47°, γ = 109.47°
Atoms (fractional coordinates):
Se1 0.032 0.622 0.710
Sn1 0.750 0.375 0.125
Se2 0.677 0.210 0.588
Se3 0.790 0.468 0.378
Sn2 0.875 0.125 0.250
Se4 0.411 0.378 0.588
Se5 0.968 0.589 0.177
Se6 0.912 0.089 0.622
Se7 0.911 0.088 0.878
Se8 0.912 0.823 0.790
As1 0.375 0.125 0.750
Se9 0.378 0.968 0.790
Se10 0.412 0.290 0.323
Se11 0.122 0.412 0.089
As2 0.875 0.625 0.750
Se12 0.210 0.677 0.088
As3 0.000 0.500 0.500
Se13 0.089 0.912 0.122
As4 0.875 0.250 0.625
As5 0.250 0.875 0.125
Se14 0.412 0.122 0.589
Se15 0.911 0.823 0.532
Sn3 0.125 0.250 0.875
Se16 0.790 0.323 0.912
As6 0.750 0.125 0.875
Se17 0.210 0.532 0.622
As7 0.375 0.250 0.125
Se18 0.677 0.468 0.589
Sn4 0.375 0.750 0.625
Sn5 0.750 0.875 0.625
Se19 0.032 0.411 0.823
As8 0.250 0.375 0.625
Sn6 0.125 0.875 0.750
Se20 0.878 0.588 0.911
Se21 0.622 0.589 0.912
Se22 0.468 0.790 0.878
Se23 0.588 0.878 0.411
As9 0.125 0.750 0.375
As10 0.625 0.750 0.875
Sn7 0.625 0.375 0.750
Se24 0.290 0.878 0.968
As11 0.000 0.500 0.000
Sn8 0.250 0.125 0.375
Se25 0.290 0.412 0.823
Sn9 0.625 0.250 0.375
Se26 0.823 0.911 0.032
As12 0.500 0.000 0.500
As13 0.500 0.500 0.000
Se27 0.589 0.968 0.677
Se28 0.088 0.911 0.378
Se29 0.177 0.088 0.710
As14 0.750 0.625 0.375
Se30 0.177 0.089 0.968
Se31 0.823 0.912 0.290
Se32 0.532 0.323 0.911
Se33 0.323 0.790 0.412
Sn10 0.375 0.625 0.250
Se34 0.089 0.177 0.468
As15 0.000 0.000 0.500
Se35 0.878 0.290 0.468
Sn11 0.250 0.625 0.875
Se36 0.588 0.710 0.677
Se37 0.710 0.588 0.177
Se38 0.532 0.210 0.122
As16 0.000 0.000 0.000
As17 0.500 0.000 0.000
Se39 0.622 0.032 0.210
Se40 0.710 0.122 0.032
Se41 0.088 0.177 0.210
Se42 0.122 0.710 0.532
Se43 0.589 0.622 0.412
As18 0.125 0.375 0.250
Se44 0.468 0.677 0.089
Se45 0.378 0.411 0.088
As19 0.500 0.500 0.500
Se46 0.968 0.378 0.290
Se47 0.411 0.032 0.323
As20 0.625 0.875 0.250
Se48 0.323 0.532 0.411
Sn12 0.875 0.750 0.125

Properties
- Final energy: -3.922 eV/atom
- Space-group type: Ia-3d, No. 230
- Energy relative to the elements, uncorrected: -0.069 eV per atom